[1]
DFT (GGA-PBE) results for an optimized crystal structure of ZnNi2Hg2.

extended XYZ file:
```
10
Lattice="6.379 0.000 0.000 0.000 6.379 0.000 0.000 0.000 3.989" Properties=species:S:1:pos:R:3 pbc="T T T"
Zn 0.000 0.000 0.000
Zn 3.190 3.190 0.000
Ni 0.859 2.331 0.000
Ni 2.331 5.520 0.000
Ni 4.048 0.859 0.000
Ni 5.520 4.048 0.000
Hg 1.074 4.264 1.995
Hg 2.115 1.074 1.995
Hg 4.264 5.305 1.995
Hg 5.305 2.115 1.995
```

Calculated values
Its energy is -2.597 eV/atom. The symmetry is P4/mbm, No. 127.

***

[2]
DFT (GGA-PBE) results for an optimized crystal structure of ZnNi2Hg.

extended XYZ file:
```
4
Lattice="2.886 0.000 0.000 0.000 3.274 0.000 0.000 0.000 6.078" Properties=species:S:1:pos:R:3 pbc="T T T"
Zn 0.000 0.000 0.000
Ni 0.000 0.000 3.588
Ni 1.443 1.637 4.868
Hg 1.443 1.637 1.967
```

Calculated values
Its energy is -3.194 eV/atom. The symmetry is Pmm2, No. 25.

***

[3]
DFT (GGA-PBE) results for an optimized crystal structure of Zn2NiHg.

extended XYZ file:
```
4
Lattice="2.903 0.000 0.000 0.000 3.391 0.000 -0.020 0.000 6.324" Properties=species:S:1:pos:R:3 pbc="T T T"
Zn 0.000 0.000 0.000
Zn 1.447 1.695 1.519
Ni -0.007 0.000 2.628
Hg 1.439 1.695 4.407
```

Calculated values
Its energy is -2.112 eV/atom. The symmetry is Pm, No. 6.

***

[4]
DFT (GGA-PBE) results for an optimized crystal structure of ZnNiHg.

extended XYZ file:
```
3
Lattice="4.277 0.000 0.000 -2.138 3.704 0.000 0.000 0.000 2.968" Properties=species:S:1:pos:R:3 pbc="T T T"
Zn 0.000 0.000 0.000
Ni 2.138 1.235 2.822
Hg 0.000 2.469 1.396
```

Calculated values
Its energy is -2.313 eV/atom. The symmetry is P3m1, No. 156. As for the relative energy among the computed polymorphs: 6.96 kJ/mol of atoms.

***

[5]
DFT (GGA-PBE) results for an optimized crystal structure of ZnNi2Hg.

extended XYZ file:
```
4
Lattice="-1.493 2.162 4.388 1.493 -2.162 4.388 1.493 2.162 -4.388" Properties=species:S:1:pos:R:3 pbc="T T T"
Zn 0.000 0.000 0.000
Ni 0.000 0.000 4.671
Ni 0.000 2.162 2.341
Hg 1.493 0.000 2.357
```

Calculated values
Its energy is -3.176 eV/atom. The symmetry is Imm2, No. 44.

***

[6]
DFT (GGA-PBE) results for an optimized crystal structure of ZnNiHg.

extended XYZ file:
```
3
Lattice="0.000 2.998 2.998 2.998 0.000 2.998 2.998 2.998 0.000" Properties=species:S:1:pos:R:3 pbc="T T T"
Zn 0.000 0.000 0.000
Ni 4.498 4.498 4.498
Hg 2.998 2.998 2.998
```

Calculated values
Its energy is -2.304 eV/atom. The symmetry is F-43m, No. 216. As for the relative energy among the computed polymorphs: 7.87 kJ/mol of atoms.

***

[7]
DFT (GGA-PBE) results for an optimized crystal structure of Zn2NiHg.

extended XYZ file:
```
4
Lattice="-1.934 1.934 4.067 1.934 -1.934 4.067 1.934 1.934 -4.067" Properties=species:S:1:pos:R:3 pbc="T T T"
Zn 0.000 0.000 0.000
Zn 0.000 1.934 2.033
Ni 0.000 0.000 4.067
Hg 1.934 0.000 2.033
```

Calculated values
Its energy is -2.116 eV/atom. The symmetry is I-4m2, No. 119.

***

[8]
DFT (GGA-PBE) results for an optimized crystal structure of ZnNi2Hg.

extended XYZ file:
```
4
Lattice="1.443 0.833 8.097 -1.443 0.833 8.097 0.000 -1.666 8.097" Properties=species:S:1:pos:R:3 pbc="T T T"
Zn 0.000 0.000 0.000
Ni 0.000 0.000 6.241
Ni 0.000 0.000 18.051
Hg 0.000 0.000 12.146
```

Calculated values
Its energy is -3.121 eV/atom. The symmetry is R-3m, No. 166.

***

[9]
DFT (GGA-PBE) results for an optimized crystal structure of ZnNi2Hg.

extended XYZ file:
```
8
Lattice="-3.412 3.412 2.630 3.412 -3.412 2.630 3.412 3.412 -2.630" Properties=species:S:1:pos:R:3 pbc="T T T"
Zn 0.000 0.000 0.000
Zn 0.000 3.412 1.315
Ni 5.118 1.547 -0.657
Ni 1.547 1.706 0.657
Ni -1.706 1.865 1.972
Ni 1.865 1.706 3.287
Hg 3.412 0.000 1.315
Hg 0.000 0.000 2.630
```

Calculated values
Its energy is -2.958 eV/atom. The symmetry is I-42d, No. 122.

***

[10]
DFT (GGA-PBE) results for an optimized crystal structure of ZnNi2Hg.

extended XYZ file:
```
4
Lattice="1.408 0.813 8.651 -1.408 0.813 8.651 0.000 -1.626 8.651" Properties=species:S:1:pos:R:3 pbc="T T T"
Zn 0.000 0.000 0.000
Ni 0.000 0.000 6.757
Ni 0.000 0.000 13.552
Hg 0.000 0.000 19.936
```

Calculated values
Its energy is -3.049 eV/atom. The symmetry is R3m, No. 160.

***

[11]
DFT (GGA-PBE) results for an optimized crystal structure of ZnNi2Hg.

extended XYZ file:
```
4
Lattice="4.506 -1.426 0.000 4.506 1.426 0.000 -1.025 0.000 4.435" Properties=species:S:1:pos:R:3 pbc="T T T"
Zn 0.000 0.000 0.000
Ni 1.473 0.000 3.606
Ni 4.173 0.000 2.465
Hg 6.616 0.000 1.433
```

Calculated values
Its energy is -3.194 eV/atom. The symmetry is Cm, No. 8.

***

[12]
DFT (GGA-PBE) results for an optimized crystal structure of ZnNi2Hg.

extended XYZ file:
```
4
Lattice="0.000 3.047 3.047 3.047 0.000 3.047 3.047 3.047 0.000" Properties=species:S:1:pos:R:3 pbc="T T T"
Zn 0.000 0.000 0.000
Ni 1.524 1.524 1.524
Ni 3.047 3.047 3.047
Hg 4.571 4.571 4.571
```

Calculated values
Its energy is -3.138 eV/atom. The symmetry is F-43m, No. 216.

***

Formation enthalpy at 0 K for every record listed, in sequence, given in eV/atom: 0.09; 0.09; 0.05; 0.14; 0.11; 0.15; 0.04; 0.16; 0.33; 0.24; 0.09; 0.15.